[1]
Material: Pm7Sm6Y16
Method: DFT, GGA-PBE
State: relaxed

## Properties
Formation energy from the elements, eV per atom: 0.182
Symmetry: Fm-3m (225)
Raw total energy, eV/atom: -5.51
DOS at the Fermi energy, states/eV/f.u.: 52.53

```
Pm7Sm6Y16
1.0
-7.635 4.640 6.701
-10.056 -4.727 1.122
-2.783 -4.994 9.594
Pm Y Sm
7 16 6
Direct
0.000 0.500 0.500
0.000 0.000 0.000
0.000 0.500 0.000
0.000 0.000 0.500
0.500 0.000 0.000
0.500 0.000 0.500
0.500 0.500 0.000
0.386 0.386 0.841
0.614 0.159 0.614
0.850 0.850 0.850
0.850 0.850 0.449
0.150 0.551 0.150
0.386 0.386 0.386
0.614 0.614 0.614
0.841 0.386 0.386
0.150 0.150 0.551
0.386 0.841 0.386
0.850 0.449 0.850
0.150 0.150 0.150
0.614 0.614 0.159
0.449 0.850 0.850
0.159 0.614 0.614
0.551 0.150 0.150
0.223 0.223 0.777
0.777 0.223 0.223
0.223 0.777 0.223
0.777 0.223 0.777
0.223 0.777 0.777
0.777 0.777 0.223
```



[2]
Material: Pm5Sm3Y3
Method: DFT, GGA-PBE
State: relaxed

## Properties
Energy above the lowest structure with this stoichiometry, meV/atom: 0
Formation energy from the elements, eV per atom: 0.330
Symmetry: P-62m (189)
Raw total energy, eV/atom: -4.88
DOS at the Fermi energy, states/eV/f.u.: 17.33

```
Pm5Sm3Y3
1.0
3.471 0.000 0.000
0.000 9.826 -5.673
0.000 0.000 11.347
Pm Sm Y
5 3 3
Direct
0.500 0.000 0.339
0.500 0.667 0.333
0.500 0.333 0.667
0.500 0.661 0.661
0.500 0.339 0.000
0.000 0.000 0.594
0.000 0.406 0.406
0.000 0.594 0.000
0.500 0.161 0.161
0.500 0.000 0.839
0.500 0.839 0.000
```



> Number 1 is which compound?

Pm7Sm6Y16



> The lowest formation energy from the elements belongs to which entry?

Pm7Sm6Y16



> Which formula does entry 2 have?

Pm5Sm3Y3



> What is the formation energy from the elements in the second record?

0.330 eV per atom